DFT (PBE-GGA) results for DyGa9Co2 after structural relaxation.

## Properties
For the density of states at the Fermi level, the calculation gives 24.91 states/eV per cell. The calculated volume is 16.3 Å³ per atom. Its total magnetization is 0.00 μB per atom. As for the total energy: -4.03 eV/atom.

Cell: 10.8849 10.8849 6.5990 Å, 90.00 90.00 90.00°
Space group I4_1/amd (No. 141, origin choice 2)
Inequivalent atoms, fractional coordinates:
Dy 0.0000 0.2500 0.3750 x4
Ga 0.0000 0.2500 0.8750 x4
Ga 0.1195 0.0603 0.6789 x32
Co 0.0000 0.0000 0.0000 x8

=====

DFT (PBE-GGA) results for NdPa6Se12 after structural relaxation.

## Properties
For the density of states at the Fermi level, the calculation gives 98.46 states/eV per cell. The calculated volume is 29.0 Å³ per atom. Its total magnetization is 0.48 μB per atom. For the formation energy without anion corrections, the calculation gives -1.308 eV/atom.

Cell: 12.8534 12.8534 11.5355 Å, 90.00 90.00 120.00°
Space group R-3 (No. 148, hexagonal axes)
Inequivalent atoms, fractional coordinates:
Nd 0.0000 0.0000 0.0000 x3
Pa 0.0465 0.7774 0.6406 x18
Se 0.0336 0.8225 0.3872 x18
Se 0.0499 0.8330 0.8833 x18

=====

DFT (PBE-GGA) results for MnBeBr after structural relaxation.

## Properties
For the density of states at the Fermi level, the calculation gives 10.61 states/eV per cell. The calculated volume is 18.5 Å³ per atom. Its total magnetization is 1.29 μB per atom. For the formation energy without anion corrections, the calculation gives 0.971 eV/atom. The energy above the most stable polymorph in this dataset comes out at 52.1 kJ/mol of atoms.

Cell: 6.0552 6.0552 6.0552 Å, 90.00 90.00 90.00°
Space group F-43m (No. 216)
Inequivalent atoms, fractional coordinates:
Mn 0.0000 0.0000 0.0000 x4
Be 0.2500 0.2500 0.7500 x4
Br 0.0000 0.0000 0.5000 x4

=====

DFT (PBE-GGA) results for Sm4CuCCl2 after structural relaxation.

## Properties
For the density of states at the Fermi level, the calculation gives 5.77 states/eV per cell. The calculated volume is 23.2 Å³ per atom. Its total magnetization is 0.00 μB per atom. For the formation energy without anion corrections, the calculation gives -0.838 eV/atom.

Cell: 7.0155 3.8516 7.1896 Å, 90.00 107.56 90.00°
Space group P2/m (No. 10)
Inequivalent atoms, fractional coordinates:
Sm 0.2098 0.0000 0.2003 x2
Sm 0.2369 0.5000 0.7865 x2
Cu 0.5000 0.0000 0.0000 x1
C 0.0000 0.5000 0.0000 x1
Cl 0.0000 0.0000 0.5000 x1
Cl 0.5000 0.5000 0.5000 x1